Entry 1:
# Dy5HgRu4 GGA-PBE relaxed
data_Dy5HgRu4
_cell_length_a 3.422
_cell_length_b 3.422
_cell_length_c 17.834
_cell_angle_alpha 90.00
_cell_angle_beta 90.00
_cell_angle_gamma 90.00
_symmetry_space_group_name_H-M 'P 4/m m m'
_symmetry_Int_Tables_number 123
_symmetry_space_group_name_Hall '-P 4 2'
loop_
_atom_site_label
_atom_site_type_symbol
_atom_site_fract_x
_atom_site_fract_y
_atom_site_fract_z
_atom_site_occupancy
Dy1 Dy 0.000 0.000 0.000 1
Dy2 Dy 0.000 0.000 0.189 1
Dy3 Dy 0.000 0.000 0.378 1
Hg1 Hg 0.500 0.500 0.500 1
Ru1 Ru 0.500 0.500 0.096 1
Ru2 Ru 0.500 0.500 0.289 1
# **Volume**: 208.8 Å³/cell
# **E**: -6.4380 eV per atom
# **Formation enthalpy at 0 K**: -0.40 eV per atom
# **Total magnetic moment**: 0.0 μB per cell


Entry 2:
# Ac6GaSi3 GGA-PBE relaxed
data_Ac6GaSi3
_cell_length_a 7.600
_cell_length_b 8.640
_cell_length_c 13.141
_cell_angle_alpha 90.00
_cell_angle_beta 123.45
_cell_angle_gamma 90.00
_symmetry_space_group_name_H-M 'P 1 21/c 1'
_symmetry_Int_Tables_number 14
loop_
_symmetry_equiv_pos_as_xyz
'x,y,z'
'-x,-y,-z'
'-x,y+1/2,-z+1/2'
'x,-y+1/2,z+1/2'
loop_
_atom_site_label
_atom_site_type_symbol
_atom_site_fract_x
_atom_site_fract_y
_atom_site_fract_z
_atom_site_occupancy
Ac1 Ac 0.068 0.081 0.248 1
Ac2 Ac 0.242 0.685 0.080 1
Ac3 Ac 0.401 0.175 0.069 1
Ga1 Ga 0.500 0.000 0.500 1
Si1 Si 0.000 0.000 0.000 1
Si2 Si 0.308 0.109 0.757 1
# **Formation energy (no corrections)**: -328 meV/atom
# **Volume**: 720.0 Å³/cell
# **E**: -4.7229 eV per atom
# **Total magnetic moment**: 0.0 μB per cell


Entry 3:
# NaLiZnPt GGA-PBE relaxed
data_NaLiZnPt
_cell_length_a 6.359
_cell_length_b 6.359
_cell_length_c 6.359
_cell_angle_alpha 90.00
_cell_angle_beta 90.00
_cell_angle_gamma 90.00
_symmetry_space_group_name_H-M 'F -4 3 m'
_symmetry_Int_Tables_number 216
_symmetry_space_group_name_Hall 'F -4 2 3'
loop_
_atom_site_label
_atom_site_type_symbol
_atom_site_fract_x
_atom_site_fract_y
_atom_site_fract_z
_atom_site_occupancy
Na1 Na 0.000 0.000 0.000 1
Li1 Li 0.250 0.250 0.250 1
Zn1 Zn 0.250 0.250 0.750 1
Pt1 Pt 0.000 0.000 0.500 1
# **Volume**: 257.1 Å³/cell
# **E**: -2.9609 eV per atom
# **Formation enthalpy at 0 K**: -0.32 eV per atom
# **Total magnetic moment**: 0.0 μB per cell


Q: volume of number 1 (Dy5HgRu4)?
A: 208.8 Å³/cell